# TlZnO2F

TlZnO2F after structural relaxation (GGA-PBE, Alexandria).

```
TlZnO2F
1.0
4.005 0.000 0.000
0.000 4.005 0.000
0.000 0.000 3.980
Tl Zn O F
1 1 2 1
direct
0.000 0.000 0.000 Tl
0.500 0.500 0.500 Zn
0.000 0.500 0.500 O
0.500 0.000 0.500 O
0.500 0.500 0.000 F
```

Raw formation energy in eV/atom: -0.90
D(E_F) in states/eV per cell: 1.10
Symmetry: P4/mmm (123)

=====

# TlZnO2F

TlZnO2F after structural relaxation (GGA-PBE, Alexandria).

```
TlZnO2F
1.0
4.261 0.000 0.000
0.000 4.261 0.000
0.000 0.000 4.389
Tl Zn O F
1 1 2 1
direct
0.000 0.000 0.000 Tl
0.500 0.500 0.500 Zn
0.000 0.500 0.000 O
0.500 0.000 0.000 O
0.000 0.000 0.500 F
```

Raw formation energy in eV/atom: -0.37
D(E_F) in states/eV per cell: 1.38
Symmetry: P4/mmm (123)

=====

# ZrTlO2F

ZrTlO2F after structural relaxation (GGA-PBE, Alexandria).

```
ZrTlO2F
1.0
4.203 0.000 0.000
0.000 4.203 0.000
0.000 0.000 4.416
Zr Tl O F
1 1 2 1
direct
0.000 0.000 0.000 Zr
0.500 0.500 0.500 Tl
0.000 0.500 0.000 O
0.500 0.000 0.000 O
0.000 0.000 0.500 F
```

Raw formation energy in eV/atom: -2.55
D(E_F) in states/eV per cell: 0.00
Symmetry: P4/mmm (123)

=====

# ZrTlOF2

ZrTlOF2 after structural relaxation (GGA-PBE, Alexandria).

```
ZrTlOF2
1.0
4.492 0.000 0.000
0.000 4.492 0.000
0.000 0.000 4.141
Zr Tl O F
1 1 1 2
direct
0.000 0.000 0.000 Zr
0.500 0.500 0.500 Tl
0.000 0.000 0.500 O
0.000 0.500 0.000 F
0.500 0.000 0.000 F
```

Raw formation energy in eV/atom: -2.45
D(E_F) in states/eV per cell: 2.36
Symmetry: P4/mmm (123)

=====

# ZrTlOF2

ZrTlOF2 after structural relaxation (GGA-PBE, Alexandria).

```
ZrTlOF2
1.0
4.591 0.000 0.000
0.000 4.591 0.000
0.000 0.000 4.325
Zr Tl O F
1 1 1 2
direct
0.000 0.000 0.000 Zr
0.500 0.500 0.500 Tl
0.500 0.500 0.000 O
0.000 0.500 0.500 F
0.500 0.000 0.500 F
```

Raw formation energy in eV/atom: -0.76
D(E_F) in states/eV per cell: 3.11
Symmetry: P4/mmm (123)

=====

# Zr2Tl3O3F4

Zr2Tl3O3F4 after structural relaxation (GGA-PBE, Alexandria).

```
Zr2Tl3O3F4
1.0
-2.052 12.494 2.191
2.052 -12.494 2.191
2.052 12.494 -2.191
Zr Tl O F
2 3 3 4
direct
0.083 0.000 0.083 Zr
0.917 0.000 0.917 Zr
0.159 0.882 0.278 Tl
0.471 0.971 0.500 Tl
0.604 0.882 0.722 Tl
0.010 0.010 0.000 O
0.133 0.547 0.586 O
0.962 0.547 0.414 O
0.158 0.991 0.167 F
0.425 0.512 0.913 F
0.599 0.512 0.087 F
0.824 0.991 0.833 F
```

Raw formation energy in eV/atom: -2.47
D(E_F) in states/eV per cell: 1.63
Symmetry: Imm2 (44)

=====

# ZrTlO2F

ZrTlO2F after structural relaxation (GGA-PBE, Alexandria).

```
ZrTlO2F
1.0
4.355 0.000 0.000
0.000 4.355 0.000
0.000 0.000 4.332
Zr Tl O F
1 1 2 1
direct
0.000 0.000 0.000 Zr
0.500 0.500 0.500 Tl
0.000 0.500 0.500 O
0.500 0.000 0.500 O
0.500 0.500 0.000 F
```

Raw formation energy in eV/atom: -0.60
D(E_F) in states/eV per cell: 4.47
Symmetry: P4/mmm (123)

=====

# TmOF

TmOF after structural relaxation (GGA-PBE, Alexandria).

```
TmOF
1.0
10.835 0.000 0.000
0.000 3.638 0.000
0.000 0.000 4.054
Tm O F
4 4 4
direct
0.100 0.250 0.246 Tm
0.400 0.750 0.746 Tm
0.600 0.250 0.254 Tm
0.900 0.750 0.754 Tm
0.017 0.250 0.744 O
0.483 0.750 0.244 O
0.517 0.250 0.756 O
0.983 0.750 0.256 O
0.224 0.750 0.067 F
0.276 0.250 0.567 F
0.724 0.750 0.433 F
0.776 0.250 0.933 F
```

Raw formation energy in eV/atom: -3.94
D(E_F) in states/eV per cell: 0.00
Symmetry: Pnma (62)